LaTa2Ga2: relaxed, PBE.

Unit cell a=8.3264 b=8.3264 c=2.9091 alpha=90.00 beta=90.00 gamma=90.00
Space group P4/mbm (No. 127)
Unique sites:
La (0.0000, 0.0000, 0.0000) x2
Ta (0.1218, 0.3782, 0.5000) x4
Ga (0.1678, 0.6678, 0.0000) x4

Size of the total moment ... 0.00 μB per atom
Crystal system ... tetragonal
Calculated formation energy ... -2.0 kcal/mol of atoms
Mass density ... 10.54 g cm⁻³


CeSm4Y6: relaxed, PBE.

Unit cell a=5.7822 b=9.6929 c=25.9981 alpha=90.00 beta=90.00 gamma=90.00
Space group Cmcm (No. 63)
Unique sites:
Ce (0.0000, 0.1843, 0.2500) x4
Sm (0.0000, 0.1579, 0.5429) x8
Sm (0.0000, 0.4714, 0.6222) x8
Y (0.0000, 0.1443, 0.6820) x8
Y (0.0000, 0.1876, 0.1029) x8
Y (0.0000, 0.4820, 0.7500) x4
Y (0.0000, 0.5000, 0.0000) x4

Size of the total moment ... 0.07 μB per atom
Crystal system ... orthorhombic
Calculated formation energy ... 3.2 kcal/mol of atoms
Mass density ... 5.81 g cm⁻³


La2TaRh: relaxed, PBE.

Unit cell a=7.3237 b=7.3237 c=7.3237 alpha=90.00 beta=90.00 gamma=90.00
Space group Fm-3m (No. 225)
Unique sites:
La (0.2500, 0.2500, 0.2500) x8
Ta (0.0000, 0.0000, 0.0000) x4
Rh (0.0000, 0.0000, 0.5000) x4

Size of the total moment ... 0.38 μB per atom
Crystal system ... cubic
Calculated formation energy ... 6.0 kcal/mol of atoms
Mass density ... 9.50 g cm⁻³